Below is a relaxed Cs3TeBr6 crystal, with properties calculated at the PBE level.

Properties
raw total energy: -2.725 eV/atom
theoretical density: 3434 kg/m3
E_form (uncorrected): -1.15 eV per atom
M_tot: 0.00 μB/f.u.

Unit cell a=9.9689 b=9.9689 c=9.9689 alpha=96.06 beta=96.06 gamma=96.06
Last column: nearest neighbours and their distance in Å.
Positions (direct):
Br 0.0519 0.2726 0.9824  1 Te 2.74
Cs 0.3915 0.8794 0.7029  7 Br 3.57-3.96
Cs 0.7029 0.3915 0.8794  7 Br 3.57-3.96
Br 0.5404 0.7856 0.3988  1 Te 3.12
Br 0.7274 0.0176 0.9481  1 Te 2.74
Br 0.9481 0.7274 0.0176  1 Te 2.74
Te 0.0000 0.0000 0.0000  6 Br 2.74
Br 0.3988 0.5404 0.7856  1 Te 3.12
Br 0.4596 0.2144 0.6012  1 Te 3.12
Br 0.9824 0.0519 0.2726  1 Te 2.74
Br 0.7856 0.3988 0.5404  1 Te 3.12
Cs 0.6085 0.1206 0.2971  7 Br 3.57-3.96
Te 0.5000 0.5000 0.5000  6 Br 3.12
Cs 0.2971 0.6085 0.1206  7 Br 3.57-3.96
Br 0.6012 0.4596 0.2144  1 Te 3.12
Cs 0.1206 0.2971 0.6085  7 Br 3.57-3.96
Br 0.0176 0.9481 0.7274  1 Te 2.74
Br 0.2726 0.9824 0.0519  1 Te 2.74
Br 0.2144 0.6012 0.4596  1 Te 3.12
Cs 0.8794 0.7029 0.3915  7 Br 3.57-3.96